The following is a PBE with a Hubbard U calculation of a geometry-optimized NiP2CF structure, from the Alexandria database.

The structure belongs to space group P4/mmm (No. 123); the cell edges are 4.407, 4.407 and 3.809 Å and the angles 90.00°, 90.00° and 90.00°. The inequivalent atoms are Ni at (0.000, 0.000, 0.000), P at (0.000, 0.500, 0.500), C at (0.500, 0.500, 0.000) and F at (0.000, 0.000, 0.500).

The volume comes out at 14.79 Å³/atom. The total DFT energy (no corrections) is -0.2343 Ry per atom. Its density is 3.404 g cm⁻³.